Record 1
A relaxed structure of TlSi2Se, computed with PBEsol.

Summary:
E above lowest polymorph = 21.5 kJ per mole of atoms
Density of states at the Fermi level = 3.70 states/eV/cell
Symmetry = No. 44
Formation energy from raw total energies = 31.6 kJ per mole of atoms
Magnetization = 0.00 μB/cell

POSCAR file:
```
TlSi2Se
1.0
3.3070 0.0000 0.0000
0.0000 5.7223 0.0000
0.0000 0.0000 9.0790
Tl Si Se
2 4 2
Cartesian
0.0000 0.0000 0.0000
1.6535 2.8611 4.5395
0.0000 0.0000 4.6044
0.0000 2.8611 1.9038
1.6535 0.0000 6.4433
1.6535 2.8611 0.0649
0.0000 2.8611 7.4057
1.6535 0.0000 2.8662
```

Record 2
A relaxed structure of Nd3Si3Ni, computed with PBEsol.

Summary:
Density of states at the Fermi level = 11.56 states/eV/cell
Symmetry = No. 44
Formation energy from raw total energies = -74.2 kJ per mole of atoms
Magnetization = 0.01 μB/cell

POSCAR file:
```
Nd3Si3Ni
1.0
3.9869 0.0000 0.0000
0.0000 4.2395 0.0000
0.0000 0.0000 17.7896
Nd Si Ni
6 6 2
Cartesian
0.0000 0.0000 0.0000
0.0000 0.0000 6.5186
0.0000 2.1198 12.1085
1.9935 0.0000 3.2137
1.9935 2.1198 8.8948
1.9935 2.1198 15.4134
0.0000 0.0000 9.7449
0.0000 0.0000 14.5947
0.0000 2.1198 4.2484
1.9935 0.0000 13.1432
1.9935 2.1198 0.8501
1.9935 2.1198 5.6999
0.0000 2.1198 2.0160
1.9935 0.0000 10.9107
```

Record 3
A relaxed structure of Sr4AlNi, computed with PBEsol.

Summary:
DFT formation energy = 5.5 eV/f.u.
Density of states at the Fermi level = 6.87 states/eV/cell
Symmetry = No. 216
Magnetization = 0.22 μB/cell

POSCAR file:
```
Sr4AlNi
1.0
0.0000 4.6710 4.6710
4.6710 0.0000 4.6710
4.6710 4.6710 0.0000
Sr Al Ni
4 1 1
Cartesian
1.1664 1.1664 1.1664
3.5047 3.5047 1.1664
3.5047 1.1664 3.5047
1.1664 3.5047 3.5047
4.6710 4.6710 4.6710
7.0065 7.0065 7.0065
```

Record 4
A relaxed structure of Li2H2Pb, computed with PBEsol.

Summary:
Density of states at the Fermi level = 1.94 states/eV/cell
Symmetry = No. 127
Magnetization = 0.00 μB/cell
Uncorrected energy = -2.8159 eV/atom

POSCAR file:
```
Li2H2Pb
1.0
6.8411 0.0000 0.0000
0.0000 6.8411 0.0000
0.0000 0.0000 2.9004
Li H Pb
4 4 2
Cartesian
0.8395 2.5810 0.0000
2.5810 6.0016 0.0000
4.2601 0.8395 0.0000
6.0016 4.2601 0.0000
0.7697 4.1903 1.4502
2.6509 0.7697 1.4502
4.1903 6.0714 1.4502
6.0714 2.6509 1.4502
0.0000 0.0000 1.4502
3.4206 3.4206 1.4502
```

Record 5
A relaxed structure of Cr11Mo5, computed with PBEsol.

Summary:
DFT formation energy = 1.6 eV/f.u.
Density of states at the Fermi level = 11.49 states/eV/cell
Symmetry = No. 6
Magnetization = 0.00 μB/cell

POSCAR file:
```
Cr11Mo5
1.0
5.8461 0.0000 0.0000
0.0000 5.8521 0.0000
-0.0279 0.0000 5.8603
Cr Mo
11 5
Cartesian
0.0000 0.0000 0.0000
-0.0101 0.0000 3.0068
1.4429 1.4784 4.4427
1.4429 4.3737 4.4427
2.9459 2.9260 3.0073
2.9791 2.9260 0.0051
4.4070 1.4826 1.4818
4.4070 4.3694 1.4818
4.3999 1.4820 4.4544
4.3999 4.3701 4.4544
5.8279 2.9260 0.0152
1.4519 1.4774 1.4793
1.4519 4.3747 1.4793
2.9860 0.0000 0.0077
2.9746 0.0000 2.9938
5.8095 2.9260 3.0089
```

Record 6
A relaxed structure of TcIr3, computed with PBEsol.

Summary:
DFT formation energy = -0.7 eV/f.u.
Density of states at the Fermi level = 6.61 states/eV/cell
Symmetry = No. 194
Magnetization = 0.00 μB/cell

POSCAR file:
```
TcIr3
1.0
5.4564 0.0000 0.0000
-2.7282 4.7254 0.0000
0.0000 0.0000 4.3357
Tc Ir
2 6
Cartesian
0.0000 3.1503 1.0839
2.7282 1.5751 3.2518
0.0000 1.5766 3.2518
-1.3628 3.9371 3.2518
1.3654 0.7883 1.0839
1.3628 3.9371 3.2518
4.0910 0.7883 1.0839
2.7282 3.1487 1.0839
```

Record 7
A relaxed structure of NiHgSN2, computed with PBEsol.

Summary:
Density of states at the Fermi level = 3.54 states/eV/cell
Symmetry = No. 123
Formation energy from raw total energies = 215.4 kJ per mole of atoms
Magnetization = 4.42 μB/cell

POSCAR file:
```
NiHgSN2
1.0
4.0441 0.0000 0.0000
0.0000 4.0441 0.0000
0.0000 0.0000 5.3377
Ni Hg S N
1 1 1 2
Cartesian
0.0000 0.0000 0.0000
2.0220 2.0220 2.6689
2.0220 2.0220 0.0000
0.0000 2.0220 2.6689
2.0220 0.0000 2.6689
```

Record 8
A relaxed structure of Ag2BiPb2, computed with PBEsol.

Summary:
DFT formation energy = 0.4 eV/f.u.
Density of states at the Fermi level = 4.06 states/eV/cell
Symmetry = No. 127
Magnetization = 0.00 μB/cell

POSCAR file:
```
Ag2BiPb2
1.0
7.6106 0.0000 0.0000
0.0000 7.6106 0.0000
0.0000 0.0000 4.2809
Ag Bi Pb
4 2 4
Cartesian
0.9726 2.8327 0.0000
2.8327 6.6380 0.0000
4.7779 0.9726 0.0000
6.6380 4.7779 0.0000
0.0000 0.0000 0.0000
3.8053 3.8053 0.0000
1.2829 5.0882 2.1404
2.5224 1.2829 2.1404
5.0882 6.3277 2.1404
6.3277 2.5224 2.1404
```

Record 9
A relaxed structure of InMoPt2C, computed with PBEsol.

Summary:
DFT formation energy = 0.5 eV/f.u.
Density of states at the Fermi level = 5.52 states/eV/cell
Symmetry = No. 123
Magnetization = 0.00 μB/cell

POSCAR file:
```
InMoPt2C
1.0
4.1831 0.0000 0.0000
0.0000 4.1831 0.0000
0.0000 0.0000 4.1661
In Mo Pt C
1 1 2 1
Cartesian
0.0000 0.0000 0.0000
2.0916 2.0916 0.0000
0.0000 2.0916 2.0830
2.0916 0.0000 2.0830
2.0916 2.0916 2.0830
```

Record 10
A relaxed structure of ZnRe2Se, computed with PBEsol.

Summary:
E above lowest polymorph = 0.0 kJ per mole of atoms
Density of states at the Fermi level = 3.58 states/eV/cell
Symmetry = No. 8
Formation energy from raw total energies = 40.9 kJ per mole of atoms
Magnetization = 0.01 μB/cell

POSCAR file:
```
ZnRe2Se
1.0
8.9293 0.0000 0.0000
0.0000 3.0196 0.0000
-1.4501 0.0000 4.3231
Zn Re Se
2 4 2
Cartesian
0.0000 0.0000 0.0000
4.4646 1.5098 0.0000
-0.6242 1.5098 2.2286
1.0199 0.0000 3.7444
3.8405 0.0000 2.2286
5.4846 1.5098 3.7444
1.8906 1.5098 1.3562
6.3552 0.0000 1.3562
```

Record 11
A relaxed structure of CrCdW3, computed with PBEsol.

Summary:
DFT formation energy = 16.5 eV/f.u.
Density of states at the Fermi level = 6.90 states/eV/cell
Symmetry = No. 221
Magnetization = 3.72 μB/cell

POSCAR file:
```
CrCdW3
1.0
4.7724 0.0000 0.0000
0.0000 4.7724 0.0000
0.0000 0.0000 4.7724
Cr Cd W
1 1 3
Cartesian
0.0000 0.0000 0.0000
2.3862 2.3862 2.3862
0.0000 2.3862 2.3862
2.3862 0.0000 2.3862
2.3862 2.3862 0.0000
```

Record 12
A relaxed structure of Mg2SiAu, computed with PBEsol.

Summary:
Density of states at the Fermi level = 3.01 states/eV/cell
Symmetry = No. 119
Formation energy from raw total energies = -18.0 kJ per mole of atoms
Magnetization = 0.00 μB/cell

POSCAR file:
```
Mg2SiAu
1.0
4.0250 0.0000 0.0000
0.0000 4.0250 0.0000
0.0000 0.0000 8.5881
Mg Si Au
4 2 2
Cartesian
0.0000 0.0000 0.0000
0.0000 2.0125 2.1470
2.0125 0.0000 6.4411
2.0125 2.0125 4.2941
0.0000 0.0000 4.2941
2.0125 2.0125 0.0000
0.0000 2.0125 6.4411
2.0125 0.0000 2.1470
```